First-principles (meta-GGA SCAN) data for a crystal of HfReSi3 relaxed with PBEsol, as listed in the Alexandria database.

Properties
- space group = Pm-3m
- uncorrected formation energy (eV/f.u.) = 9.7

a = 4.8377 Å, b = 4.8377 Å, c = 4.8377 Å
α = 90.00°, β = 90.00°, γ = 90.00°
With the nearest neighbours (Å) after each atom.
Fractional coordinates of all 5 atoms:
Hf 0.0000 0.0000 0.0000  6 Si 2.42
Re 0.5000 0.5000 0.5000  12 Si 3.42
Si 0.0000 0.0000 0.5000  2 Hf 2.42
Si 0.0000 0.5000 0.0000  2 Hf 2.42
Si 0.5000 0.0000 0.0000  2 Hf 2.42


First-principles (meta-GGA SCAN) data for a crystal of Hf3ReSi relaxed with PBEsol, as listed in the Alexandria database.

Properties
- space group = Pm-3m
- uncorrected formation energy (eV/f.u.) = 3.6

a = 4.9254 Å, b = 4.9254 Å, c = 4.9254 Å
α = 90.00°, β = 90.00°, γ = 90.00°
With the nearest neighbours (Å) after each atom.
Fractional coordinates of all 5 atoms:
Hf 0.0000 0.0000 0.5000  2 Re 2.46
Hf 0.0000 0.5000 0.0000  2 Re 2.46
Hf 0.5000 0.0000 0.0000  2 Re 2.46
Re 0.0000 0.0000 0.0000  6 Hf 2.46
Si 0.5000 0.5000 0.5000  12 Hf 3.48


First-principles (meta-GGA SCAN) data for a crystal of Hf2ReSi2 relaxed with PBEsol, as listed in the Alexandria database.

Properties
- space group = P4/mbm
- uncorrected formation energy (eV/f.u.) = -3.9

a = 6.4552 Å, b = 6.4552 Å, c = 3.8274 Å
α = 90.00°, β = 90.00°, γ = 90.00°
With the nearest neighbours (Å) after each atom.
Fractional coordinates of all 10 atoms:
Hf 0.1722 0.3278 0.0000  6 Si 2.62-2.75
Hf 0.3278 0.8278 0.0000  6 Si 2.62-2.75
Hf 0.6722 0.1722 0.0000  6 Si 2.62-2.75
Hf 0.8278 0.6722 0.0000  6 Si 2.62-2.75
Re 0.0000 0.0000 0.5000  4 Si 2.53
Re 0.5000 0.5000 0.5000  4 Si 2.53
Si 0.1311 0.6311 0.5000  1 Si 2.39, 2 Re 2.53, 2 Hf 2.62
Si 0.3689 0.1311 0.5000  1 Si 2.39, 2 Re 2.53, 2 Hf 2.62
Si 0.6311 0.8689 0.5000  1 Si 2.39, 2 Re 2.53, 2 Hf 2.62
Si 0.8689 0.3689 0.5000  1 Si 2.39, 2 Re 2.53, 2 Hf 2.62


First-principles (meta-GGA SCAN) data for a crystal of HfZrReSi2 relaxed with PBEsol, as listed in the Alexandria database.

Properties
- space group = P4/mmm
- uncorrected formation energy (eV/f.u.) = 7.2

a = 4.7445 Å, b = 4.7445 Å, c = 4.7595 Å
α = 90.00°, β = 90.00°, γ = 90.00°
With the nearest neighbours (Å) after each atom.
Fractional coordinates of all 5 atoms:
Hf 0.0000 0.0000 0.0000  4 Re 3.35, 8 Si 3.36
Zr 0.5000 0.5000 0.5000  4 Si 2.37, 2 Re 2.38
Re 0.5000 0.5000 0.0000  2 Zr 2.38
Si 0.0000 0.5000 0.5000  2 Zr 2.37
Si 0.5000 0.0000 0.5000  2 Zr 2.37


First-principles (meta-GGA SCAN) data for a crystal of SrHfRe2 relaxed with PBEsol, as listed in the Alexandria database.

Properties
- space group = Fm-3m
- formation energy (eV per atom) = 0.94

a = 4.7414 Å, b = 4.7414 Å, c = 4.7414 Å
α = 60.00°, β = 60.00°, γ = 60.00°
With the nearest neighbours (Å) after each atom.
Fractional coordinates of all 4 atoms:
Sr 0.0000 0.0000 0.0000  8 Re 2.90
Hf 0.5000 0.5000 0.5000  8 Re 2.90
Re 0.2500 0.2500 0.2500  4 Hf 2.90, 4 Sr 2.90
Re 0.7500 0.7500 0.7500  4 Hf 2.90, 4 Sr 2.90


First-principles (meta-GGA SCAN) data for a crystal of HfTaRe2 relaxed with PBEsol, as listed in the Alexandria database.

Properties
- space group = Fm-3m
- formation energy (eV per atom) = -0.52

a = 4.5248 Å, b = 4.5248 Å, c = 4.5248 Å
α = 60.00°, β = 60.00°, γ = 60.00°
With the nearest neighbours (Å) after each atom.
Fractional coordinates of all 4 atoms:
Hf 0.0000 0.0000 0.0000  8 Re 2.77
Ta 0.5000 0.5000 0.5000  8 Re 2.77
Re 0.2500 0.2500 0.2500  4 Hf 2.77, 4 Ta 2.77
Re 0.7500 0.7500 0.7500  4 Hf 2.77, 4 Ta 2.77


First-principles (meta-GGA SCAN) data for a crystal of HfReTe3 relaxed with PBEsol, as listed in the Alexandria database.

Properties
- space group = Pm-3m
- uncorrected formation energy (eV/f.u.) = 5.1

a = 5.1448 Å, b = 5.1448 Å, c = 5.1448 Å
α = 90.00°, β = 90.00°, γ = 90.00°
With the nearest neighbours (Å) after each atom.
Fractional coordinates of all 5 atoms:
Hf 0.0000 0.0000 0.0000  12 Te 3.64
Re 0.5000 0.5000 0.5000  6 Te 2.57
Te 0.0000 0.5000 0.5000  2 Re 2.57
Te 0.5000 0.0000 0.5000  2 Re 2.57
Te 0.5000 0.5000 0.0000  2 Re 2.57


First-principles (meta-GGA SCAN) data for a crystal of Hf2TiRe relaxed with PBEsol, as listed in the Alexandria database.

Properties
- space group = Fm-3m
- formation energy (eV per atom) = -0.25

a = 4.6527 Å, b = 4.6527 Å, c = 4.6527 Å
α = 60.00°, β = 60.00°, γ = 60.00°
With the nearest neighbours (Å) after each atom.
Fractional coordinates of all 4 atoms:
Hf 0.2500 0.2500 0.2500  4 Re 2.85, 4 Ti 2.85
Hf 0.7500 0.7500 0.7500  4 Ti 2.85, 4 Re 2.85
Ti 0.0000 0.0000 0.0000  8 Hf 2.85
Re 0.5000 0.5000 0.5000  8 Hf 2.85


Calculated total DFT energy (no corrections), -154.1 -265.5 -440.7 -177.3 -223.4 -273.5 -240.4 -213.5 eV per cell (same order as the records).